A relaxed Ca3Sm3MgSe8 crystal. Source: Alexandria via LeMat-Bulk, functional PBE.

V = 409.4 Å³ per cell
Space-group type = R-3m (166)
M_tot = 0.00 μB per atom
Calculated total energy = -77.0 eV/f.u.

Structure (extended XYZ):
```
15
Lattice="8.296 0.000 0.000 -4.148 7.185 -0.025 0.000 -4.766 6.885" Properties=species:S:1:pos:R:3 pbc="T T T"
Se 4.148 2.490 1.797
Sm -2.074 1.209 3.430
Se 6.299 -1.236 1.810
Se 4.148 0.018 5.154
Sm 4.148 -2.383 3.443
Mg 0.000 -2.383 3.443
Se 0.000 2.401 1.706
Ca 2.074 3.592 -0.013
Se -2.151 3.654 5.050
Se 0.000 -0.071 5.063
Ca 0.000 0.000 0.000
Se 2.151 3.654 5.050
Ca -2.074 3.592 -0.013
Sm 2.074 1.209 3.430
Se 1.997 -1.236 1.810
```

A relaxed Sr2CaMgSe crystal. Source: Alexandria via LeMat-Bulk, functional PBE.

V = 202.2 Å³ per cell
Space-group type = P4/mmm (123)
M_tot = 0.00 μB per atom
Calculated total energy = -13.7 eV/f.u.

Structure (extended XYZ):
```
5
Lattice="-5.649 -1.438 1.531 1.990 -2.253 5.223 -0.623 4.990 2.390" Properties=species:S:1:pos:R:3 pbc="T T T"
Sr -2.824 -0.719 0.766
Sr 0.995 -1.127 2.612
Mg -2.141 0.649 4.572
Ca -0.311 2.495 1.195
Se 0.000 0.000 0.000
```

A relaxed Ca2TbMgSe4 crystal. Source: Alexandria via LeMat-Bulk, functional PBE.

V = 196.2 Å³ per cell
Space-group type = P2/m (10)
M_tot = 0.00 μB per atom
Calculated total energy = -37.9 eV/f.u.

Structure (extended XYZ):
```
8
Lattice="-0.105 3.999 -0.824 -3.145 -1.376 -6.281 -4.982 0.901 5.009" Properties=species:S:1:pos:R:3 pbc="T T T"
Ca -4.063 -0.237 -0.636
Ca -2.543 2.450 2.093
Mg 0.000 0.000 0.000
Se -6.278 1.640 -1.363
Se -1.953 1.884 -0.732
Se -4.553 0.345 2.255
Tb -1.625 1.311 -3.552
Se -3.573 -0.820 -3.527
```

A relaxed Ca2TmMgSe4 crystal. Source: Alexandria via LeMat-Bulk, functional PBE.

V = 192.6 Å³ per cell
Space-group type = P2/m (10)
M_tot = 0.00 μB per atom
Calculated total energy = -37.7 eV/f.u.

Structure (extended XYZ):
```
8
Lattice="4.060 0.000 0.000 0.000 7.102 0.125 0.000 -2.483 6.635" Properties=species:S:1:pos:R:3 pbc="T T T"
Ca 2.030 -1.241 3.318
Se 2.030 1.122 1.558
Se 0.000 -0.118 5.094
Tm 2.030 3.551 0.062
Se 0.000 4.737 1.666
Se 2.030 3.497 5.203
Ca 0.000 2.310 3.380
Mg 0.000 0.000 0.000
```

A relaxed Ca3Tm3MgSe8 crystal. Source: Alexandria via LeMat-Bulk, functional PBE.

V = 387.0 Å³ per cell
Space-group type = R-3m (166)
M_tot = 0.00 μB per atom
Calculated total energy = -76.1 eV/f.u.

Structure (extended XYZ):
```
15
Lattice="-6.846 -0.488 -4.318 0.310 -3.125 7.476 0.030 8.195 -0.974" Properties=species:S:1:pos:R:3 pbc="T T T"
Ca 0.000 0.000 0.000
Ca -3.268 -1.806 1.579
Ca 0.155 -1.562 3.738
Tm 0.170 2.535 3.251
Se -1.569 0.422 2.440
Se -5.177 1.791 -3.461
Se -1.712 2.038 -1.276
Se -1.486 4.372 1.862
Tm -3.253 2.291 1.092
Se -1.329 2.791 5.645
Se -4.937 4.159 -0.256
Mg 0.015 4.097 -0.487
Tm -3.408 3.853 -2.646
Se -5.020 0.210 0.322
Se -4.794 2.544 3.460
```

A relaxed Ca3Y3MgSe8 crystal. Source: Alexandria via LeMat-Bulk, functional PBE.

V = 396.2 Å³ per cell
Space-group type = R-3m (166)
M_tot = 0.00 μB per atom
Calculated total energy = -82.3 eV/f.u.

Structure (extended XYZ):
```
15
Lattice="-4.650 -2.871 6.094 7.996 1.270 1.202 -5.098 6.503 -0.827" Properties=species:S:1:pos:R:3 pbc="T T T"
Se -0.740 0.206 5.030
Se 1.554 1.576 1.928
Ca 0.000 0.000 0.000
Y -4.874 1.816 2.634
Ca 3.998 0.635 0.601
Se 0.701 3.878 5.174
Y -0.876 2.451 3.235
Y 1.449 3.887 0.188
Se -3.306 3.327 4.542
Se -4.832 -0.444 4.414
Se 3.080 5.347 2.056
Ca 1.673 -0.800 3.648
Se -2.452 1.025 1.296
Se -1.012 4.697 1.440
Mg -2.549 3.251 -0.413
```

A relaxed CaMg4Si3 crystal. Source: Alexandria via LeMat-Bulk, functional PBE.

V = 172.3 Å³ per cell
Space-group type = P4/mmm (123)
M_tot = 0.00 μB per atom
Calculated total energy = -26.6 eV/f.u.

Structure (extended XYZ):
```
8
Lattice="-2.539 -2.362 -2.793 3.267 -2.994 -0.437 -3.212 -4.485 6.712" Properties=species:S:1:pos:R:3 pbc="T T T"
Mg -0.987 -5.156 5.258
Si -1.680 -5.532 2.656
Si 0.000 0.000 0.000
Mg 1.042 -2.323 1.017
Mg -1.861 -2.007 -0.161
Si -0.804 -4.309 0.825
Mg -3.890 -4.840 4.079
Ca -1.606 -2.242 3.356
```

A relaxed CaMg14Si crystal. Source: Alexandria via LeMat-Bulk, functional PBE.

V = 371.0 Å³ per cell
Space-group type = P-6m2 (187)
M_tot = 0.00 μB per atom
Calculated total energy = -29.3 eV/f.u.

Structure (extended XYZ):
```
16
Lattice="-0.304 6.438 -0.508 -1.563 -3.719 -5.053 -9.743 -0.210 3.168" Properties=species:S:1:pos:R:3 pbc="T T T"
Mg -8.498 -2.206 -1.985
Si -4.871 -0.105 1.584
Mg -5.041 3.109 1.276
Mg -3.101 3.002 -1.250
Mg -3.958 -2.109 -3.461
Mg -8.089 2.894 0.372
Mg -0.793 -1.812 -2.558
Mg -1.697 -0.494 -5.252
Mg -8.652 1.064 -2.243
Ca 0.000 0.000 0.000
Mg -5.798 1.307 -1.173
Mg -4.112 1.162 -3.719
Mg -0.940 1.307 -2.804
Mg -7.704 -0.317 0.581
Mg -3.164 -0.220 -0.895
Mg -5.945 4.427 -1.419
```

A relaxed Ca2Mg3Si crystal. Source: Alexandria via LeMat-Bulk, functional PBE.

V = 299.1 Å³ per cell
Space-group type = P6_3/mmc (194)
M_tot = 0.00 μB per atom
Calculated total energy = -15.1 eV/f.u.

Structure (extended XYZ):
```
12
Lattice="3.038 -5.263 0.000 3.038 5.263 0.000 0.000 0.000 9.355" Properties=species:S:1:pos:R:3 pbc="T T T"
Ca 3.038 -1.754 0.534
Ca 3.038 1.754 5.211
Ca 3.038 1.754 8.821
Mg 3.038 -3.521 7.016
Mg 4.569 0.871 2.339
Ca 3.038 -1.754 4.144
Mg 4.569 -0.871 7.016
Mg 3.038 3.521 2.339
Si 0.000 0.000 0.000
Mg 1.508 -0.871 7.016
Mg 1.508 0.871 2.339
Si 0.000 0.000 4.677
```

A relaxed CaMg6Si crystal. Source: Alexandria via LeMat-Bulk, functional PBE.

V = 188.5 Å³ per cell
Space-group type = Amm2 (38)
M_tot = 0.00 μB per atom
Calculated total energy = -17.0 eV/f.u.

Structure (extended XYZ):
```
8
Lattice="3.037 -6.286 0.000 3.037 6.286 0.000 0.000 0.000 4.937" Properties=species:S:1:pos:R:3 pbc="T T T"
Mg 3.037 3.832 0.000
Mg 1.546 0.981 0.000
Mg 4.573 -0.837 2.468
Mg 3.037 -1.852 0.000
Mg 1.500 -0.837 2.468
Mg 4.527 0.981 0.000
Si 3.037 1.645 2.468
Ca 3.037 -3.914 2.468
```

A relaxed CaMgSi4 crystal. Source: Alexandria via LeMat-Bulk, functional PBE.

V = 103.3 Å³ per cell
Space-group type = F-43m (216)
M_tot = 0.00 μB per atom
Calculated total energy = -25.5 eV/f.u.

Structure (extended XYZ):
```
6
Lattice="0.000 3.724 3.724 3.724 0.000 3.724 3.724 3.724 0.000" Properties=species:S:1:pos:R:3 pbc="T T T"
Si 2.784 4.663 4.663
Ca 5.585 5.585 5.585
Si 4.663 2.784 4.663
Mg 0.000 0.000 0.000
Si 2.784 2.784 2.784
Si 4.663 4.663 2.784
```

A relaxed CaMg14Si crystal. Source: Alexandria via LeMat-Bulk, functional PBE.

V = 369.4 Å³ per cell
Space-group type = Amm2 (38)
M_tot = 0.00 μB per atom
Calculated total energy = -29.7 eV/f.u.

Structure (extended XYZ):
```
16
Lattice="-6.230 1.484 -1.307 1.959 -2.431 5.742 1.541 9.572 3.527" Properties=species:S:1:pos:R:3 pbc="T T T"
Mg -1.708 0.084 0.517
Mg 0.915 0.906 5.449
Ca -3.991 5.568 1.721
Mg -0.045 1.824 2.550
Mg -1.388 6.181 6.530
Mg -0.724 -1.148 3.433
Mg 1.607 5.208 7.035
Mg -3.886 -0.399 2.779
Mg -0.896 4.809 2.430
Si -0.140 3.727 5.036
Mg -2.317 7.428 3.729
Mg 0.732 6.651 4.328
Mg -2.955 4.352 4.568
Mg -2.165 1.354 4.751
Mg -4.850 0.825 -0.119
Mg -3.112 2.488 1.909
```

Short version: E_form (uncorrected) = -1.82, -0.65, -1.72, -1.71, -1.81, -1.83, -0.24, 0.03, -0.16, -0.01, -0.03, 0.00 eV/atom, in the order given.